Entry 1:
{
  "formula": "KSbRh3",
  "functional": "PBEsol",
  "state": "relaxed",
  "e_form_raw_ev_per_atom": 0.762,
  "dos_at_fermi_per_ev_atom": 1.43,
  "spacegroup": "Pm-3m, No. 221",
  "lattice": [[4.8716, 0.0000, 0.0000], [0.0000, 4.8716, 0.0000], [0.0000, 0.0000, 4.8716]],
  "species": ["Rh", "K", "Sb", "Rh", "Rh"],
  "frac_coords": [[0.0000, 0.0000, 0.5000], [0.5000, 0.5000, 0.5000], [0.0000, 0.0000, 0.0000], [0.5000, 0.0000, 0.0000], [0.0000, 0.5000, 0.0000]]
}

***

Entry 2:
{
  "formula": "KSbRh2",
  "functional": "PBEsol",
  "state": "relaxed",
  "e_form_raw_ev_per_atom": 0.483,
  "dos_at_fermi_per_ev_atom": 0.99,
  "spacegroup": "I-4m2, No. 119",
  "lattice": [[-0.2095, 2.0526, 3.4063], [-3.9762, -0.1723, -0.1408], [2.1780, -4.8188, 0.7097]],
  "species": ["K", "Rh", "Rh", "Sb"],
  "frac_coords": [[0.2500, 0.7500, 0.5000], [0.0000, 0.0000, 0.0000], [0.7500, 0.2500, 0.5000], [0.5000, 0.5000, 0.0000]]
}

***

Entry 3:
{
  "formula": "KSbRh2",
  "functional": "PBEsol",
  "state": "relaxed",
  "e_form_raw_ev_per_atom": -0.040,
  "dos_at_fermi_per_ev_atom": 1.20,
  "spacegroup": "R-3m, No. 166",
  "lattice": [[-2.5676, -1.7054, -3.0858], [4.1543, 0.9768, -0.9142], [-0.2793, -5.5076, 3.2762]],
  "species": ["Sb", "Rh", "K", "Rh"],
  "frac_coords": [[0.0000, 0.0000, 0.5000], [0.6981, 0.3962, 0.5939], [0.5000, 0.0000, 0.0000], [0.3019, 0.6038, 0.4061]]
}